1.
The following is a meta-GGA SCAN calculation of Zr2TlW at its PBEsol-relaxed geometry, from Alexandria.

M_tot = 0.00 Bohr magnetons per cell
Symmetry = Cmmm
Formation enthalpy at 0 K = 0.04 eV/atom
Energy above the most stable polymorph in this dataset = 0.0000 eV/atom
Density of states at the Fermi level = 3.77 states/eV/f.u.

Lattice parameters (Å, degrees): 3.032 3.032 9.291 90.00 90.00 108.35
Atoms (fractional coordinates):
Zr 0.000 0.000 0.227
Zr 0.000 0.000 0.773
Tl 0.500 0.500 0.500
W 0.500 0.500 0.000

2.
The following is a meta-GGA SCAN calculation of SrMg2Te at its PBEsol-relaxed geometry, from Alexandria.

M_tot = 0.00 Bohr magnetons per cell
Symmetry = Cm
Density of states at the Fermi level = 0.31 states/eV/f.u.
E_form (uncorrected) = -0.487 eV/atom

Lattice parameters (Å, degrees): 5.414 5.414 6.265 106.10 106.10 44.46
Atoms (fractional coordinates):
Sr 0.000 0.000 0.000
Mg 0.519 0.519 0.487
Mg 0.779 0.779 0.363
Te 0.242 0.242 0.721

3.
The following is a meta-GGA SCAN calculation of Er2GaNi2 at its PBEsol-relaxed geometry, from Alexandria.

M_tot = 0.00 Bohr magnetons per cell
Symmetry = Immm
Formation enthalpy at 0 K = -0.66 eV/atom
Density of states at the Fermi level = 2.86 states/eV/f.u.

Lattice parameters (Å, degrees): 5.202 5.202 5.202 133.30 119.68 79.57
Atoms (fractional coordinates):
Er 0.202 0.202 0.000
Er 0.798 0.798 0.000
Ga 0.500 0.000 0.500
Ni 0.232 0.500 0.732
Ni 0.768 0.500 0.268

4.
The following is a meta-GGA SCAN calculation of TbTl3 at its PBEsol-relaxed geometry, from Alexandria.

M_tot = 0.00 Bohr magnetons per cell
Symmetry = Pm-3m
Formation enthalpy at 0 K = -0.35 eV/atom
Density of states at the Fermi level = 2.08 states/eV/f.u.

Lattice parameters (Å, degrees): 4.660 4.660 4.660 90.00 90.00 90.00
Atoms (fractional coordinates):
Tb 0.000 0.000 0.000
Tl 0.000 0.500 0.500
Tl 0.500 0.000 0.500
Tl 0.500 0.500 0.000

5.
The following is a meta-GGA SCAN calculation of AlCdBr2 at its PBEsol-relaxed geometry, from Alexandria.

M_tot = 0.00 Bohr magnetons per cell
Symmetry = Cm
Energy above the most stable polymorph in this dataset = 0.0000 eV/atom
Density of states at the Fermi level = 0.46 states/eV/f.u.
E_form (uncorrected) = -0.537 eV/atom

Lattice parameters (Å, degrees): 6.305 6.305 5.515 113.75 113.75 34.29
Atoms (fractional coordinates):
Al 0.000 0.000 0.000
Cd 0.456 0.456 0.305
Br 0.625 0.625 0.873
Br 0.836 0.836 0.553

6.
The following is a meta-GGA SCAN calculation of Li2MnRu at its PBEsol-relaxed geometry, from Alexandria.

M_tot = 4.10 Bohr magnetons per cell
Symmetry = Fm-3m
Formation enthalpy at 0 K = 0.28 eV/atom
Density of states at the Fermi level = 2.83 states/eV/f.u.

Lattice parameters (Å, degrees): 4.114 4.114 4.114 60.00 60.00 60.00
Atoms (fractional coordinates):
Li 0.250 0.250 0.250
Li 0.750 0.750 0.750
Mn 0.000 0.000 0.000
Ru 0.500 0.500 0.500

7.
The following is a meta-GGA SCAN calculation of Na2AgPb2 at its PBEsol-relaxed geometry, from Alexandria.

M_tot = 0.00 Bohr magnetons per cell
Symmetry = P4/mbm
Formation enthalpy at 0 K = -0.15 eV/atom
Density of states at the Fermi level = 2.33 states/eV/f.u.

Lattice parameters (Å, degrees): 7.392 7.392 4.969 90.00 90.00 90.00
Atoms (fractional coordinates):
Na 0.165 0.335 0.000
Na 0.335 0.835 0.000
Na 0.665 0.165 0.000
Na 0.835 0.665 0.000
Ag 0.000 0.000 0.500
Ag 0.500 0.500 0.500
Pb 0.145 0.645 0.500
Pb 0.355 0.145 0.500
Pb 0.645 0.855 0.500
Pb 0.855 0.355 0.500

8.
The following is a meta-GGA SCAN calculation of GaHRu3 at its PBEsol-relaxed geometry, from Alexandria.

M_tot = 2.50 Bohr magnetons per cell
Symmetry = Pm-3m
Raw total energy = -24.730 eV per atom
Density of states at the Fermi level = 4.00 states/eV/f.u.

Lattice parameters (Å, degrees): 3.841 3.841 3.841 90.00 90.00 90.00
Atoms (fractional coordinates):
Ga 0.000 0.000 0.000
H 0.500 0.500 0.500
Ru 0.000 0.500 0.500
Ru 0.500 0.000 0.500
Ru 0.500 0.500 0.000

9.
The following is a meta-GGA SCAN calculation of HgHRu3 at its PBEsol-relaxed geometry, from Alexandria.

M_tot = 3.15 Bohr magnetons per cell
Symmetry = Pm-3m
Raw total energy = -34.747 eV per atom
Density of states at the Fermi level = 3.36 states/eV/f.u.

Lattice parameters (Å, degrees): 3.944 3.944 3.944 90.00 90.00 90.00
Atoms (fractional coordinates):
Hg 0.000 0.000 0.000
H 0.500 0.500 0.500
Ru 0.000 0.500 0.500
Ru 0.500 0.000 0.500
Ru 0.500 0.500 0.000

10.
The following is a meta-GGA SCAN calculation of SiSe5 at its PBEsol-relaxed geometry, from Alexandria.

M_tot = 0.00 Bohr magnetons per cell
Symmetry = Cmmm
Energy above the most stable polymorph in this dataset = 0.0000 eV/atom
Density of states at the Fermi level = 3.07 states/eV/f.u.
E_form (uncorrected) = 0.119 eV/atom

Lattice parameters (Å, degrees): 6.706 6.706 5.355 90.00 90.00 149.07
Atoms (fractional coordinates):
Si 0.000 0.000 0.000
Se 0.000 0.000 0.500
Se 0.333 0.667 0.500
Se 0.361 0.639 0.000
Se 0.639 0.361 0.000
Se 0.667 0.333 0.500

11.
The following is a meta-GGA SCAN calculation of BaCuOs2 at its PBEsol-relaxed geometry, from Alexandria.

M_tot = 0.00 Bohr magnetons per cell
Symmetry = R-3m
Formation enthalpy at 0 K = 1.36 eV/atom
Density of states at the Fermi level = 4.40 states/eV/f.u.

Lattice parameters (Å, degrees): 9.946 9.946 9.946 16.61 16.61 16.61
Atoms (fractional coordinates):
Ba 0.000 0.000 0.000
Cu 0.500 0.500 0.500
Os 0.234 0.234 0.234
Os 0.766 0.766 0.766

12.
The following is a meta-GGA SCAN calculation of Mg2ZrRh at its PBEsol-relaxed geometry, from Alexandria.

M_tot = 0.00 Bohr magnetons per cell
Symmetry = Immm
Formation enthalpy at 0 K = -0.36 eV/atom
Density of states at the Fermi level = 2.96 states/eV/f.u.

Lattice parameters (Å, degrees): 5.890 5.890 5.890 149.72 133.18 56.78
Atoms (fractional coordinates):
Mg 0.213 0.213 0.000
Mg 0.787 0.787 0.000
Zr 0.500 0.000 0.500
Rh 0.000 0.500 0.500

13.
The following is a meta-GGA SCAN calculation of SrBeW at its PBEsol-relaxed geometry, from Alexandria.

M_tot = 3.02 Bohr magnetons per cell
Symmetry = F-43m
Formation enthalpy at 0 K = 2.59 eV/atom
Density of states at the Fermi level = 2.58 states/eV/f.u.

Lattice parameters (Å, degrees): 4.745 4.745 4.745 60.00 60.00 60.00
Atoms (fractional coordinates):
Sr 0.000 0.000 0.000
Be 0.250 0.250 0.250
W 0.750 0.750 0.750

14.
The following is a meta-GGA SCAN calculation of CdTc2Pt at its PBEsol-relaxed geometry, from Alexandria.

M_tot = 0.00 Bohr magnetons per cell
Symmetry = Pmmm
Formation enthalpy at 0 K = 0.21 eV/atom
Density of states at the Fermi level = 3.56 states/eV/f.u.

Lattice parameters (Å, degrees): 2.724 4.213 5.421 90.00 90.00 90.00
Atoms (fractional coordinates):
Cd 0.000 0.000 0.000
Tc 0.500 0.500 0.284
Tc 0.500 0.500 0.716
Pt 0.000 0.000 0.500

15.
The following is a meta-GGA SCAN calculation of LaCr2Mo at its PBEsol-relaxed geometry, from Alexandria.

M_tot = 4.09 Bohr magnetons per cell
Symmetry = P4/mmm
Formation enthalpy at 0 K = 0.33 eV/atom
Energy above the most stable polymorph in this dataset = 0.0000 eV/atom
Density of states at the Fermi level = 3.56 states/eV/f.u.

Lattice parameters (Å, degrees): 3.075 3.075 7.327 90.00 90.00 90.00
Atoms (fractional coordinates):
La 0.000 0.000 0.000
Cr 0.500 0.500 0.313
Cr 0.500 0.500 0.687
Mo 0.000 0.000 0.500

16.
The following is a meta-GGA SCAN calculation of ICl2F at its PBEsol-relaxed geometry, from Alexandria.

M_tot = 0.00 Bohr magnetons per cell
Symmetry = R-3m
Density of states at the Fermi level = 3.59 states/eV/f.u.
E_form (uncorrected) = 0.297 eV/atom

Lattice parameters (Å, degrees): 8.815 8.815 8.815 22.92 22.92 22.92
Atoms (fractional coordinates):
I 0.000 0.000 0.000
Cl 0.422 0.422 0.422
Cl 0.578 0.578 0.578
F 0.500 0.500 0.500

17.
The following is a meta-GGA SCAN calculation of Li2CaCd at its PBEsol-relaxed geometry, from Alexandria.

M_tot = 0.00 Bohr magnetons per cell
Symmetry = I4/mmm
Formation enthalpy at 0 K = -0.20 eV/atom
Energy above the most stable polymorph in this dataset = 0.0000 eV/atom
Density of states at the Fermi level = 2.19 states/eV/f.u.

Lattice parameters (Å, degrees): 5.366 5.366 5.366 129.59 129.59 74.06
Atoms (fractional coordinates):
Li 0.250 0.750 0.500
Li 0.750 0.250 0.500
Ca 0.000 0.000 0.000
Cd 0.500 0.500 0.000

18.
The following is a meta-GGA SCAN calculation of Na4ZrMo4O16 at its PBEsol-relaxed geometry, from Alexandria.

M_tot = 0.00 Bohr magnetons per cell
Symmetry = I4_1/a
Density of states at the Fermi level = 0.00 states/eV/f.u.
E_form (uncorrected) = -2.417 eV/atom

Lattice parameters (Å, degrees): 9.719 9.719 9.719 110.55 110.55 107.34
Atoms (fractional coordinates):
Na 0.039 0.128 0.363
Na 0.176 0.539 0.411
Na 0.265 0.676 0.137
Na 0.372 0.235 0.911
Na 0.628 0.765 0.089
Na 0.735 0.324 0.863
Na 0.824 0.461 0.589
Na 0.961 0.872 0.637
Zr 0.375 0.125 0.250
Zr 0.625 0.875 0.750
Mo 0.052 0.206 0.014
Mo 0.294 0.808 0.846
Mo 0.308 0.962 0.514
Mo 0.462 0.448 0.654
Mo 0.538 0.552 0.346
Mo 0.692 0.038 0.486
Mo 0.706 0.192 0.154
Mo 0.948 0.794 0.986
O 0.077 0.707 0.720
O 0.100 0.156 0.854
O 0.137 0.134 0.158
O 0.144 0.423 0.130
O 0.170 0.865 0.082
O 0.198 0.755 0.354
O 0.207 0.987 0.630
O 0.255 0.400 0.556
O 0.284 0.089 0.418
O 0.344 0.698 0.944
O 0.365 0.784 0.695
O 0.366 0.024 0.003
O 0.411 0.330 0.195
O 0.476 0.979 0.342
O 0.479 0.637 0.503
O 0.487 0.356 0.780
O 0.513 0.644 0.220
O 0.521 0.363 0.497
O 0.524 0.021 0.658
O 0.589 0.670 0.805
O 0.634 0.976 0.997
O 0.635 0.216 0.305
O 0.656 0.302 0.056
O 0.716 0.911 0.582
O 0.745 0.600 0.444
O 0.793 0.013 0.370
O 0.802 0.245 0.646
O 0.830 0.135 0.918
O 0.856 0.577 0.870
O 0.863 0.866 0.842
O 0.900 0.844 0.146
O 0.923 0.293 0.280

19.
The following is a meta-GGA SCAN calculation of BRhCl3 at its PBEsol-relaxed geometry, from Alexandria.

M_tot = 1.97 Bohr magnetons per cell
Symmetry = Pm-3m
Density of states at the Fermi level = 2.52 states/eV/f.u.
E_form (uncorrected) = 0.684 eV/atom

Lattice parameters (Å, degrees): 4.273 4.273 4.273 90.00 90.00 90.00
Atoms (fractional coordinates):
B 0.000 0.000 0.000
Rh 0.500 0.500 0.500
Cl 0.000 0.000 0.500
Cl 0.000 0.500 0.000
Cl 0.500 0.000 0.000

20.
The following is a meta-GGA SCAN calculation of Co2TcIr at its PBEsol-relaxed geometry, from Alexandria.

M_tot = 2.58 Bohr magnetons per cell
Symmetry = P4/mmm
Formation enthalpy at 0 K = 0.07 eV/atom
Energy above the most stable polymorph in this dataset = 0.0000 eV/atom
Density of states at the Fermi level = 3.30 states/eV/f.u.

Lattice parameters (Å, degrees): 3.667 3.667 3.574 90.00 90.00 90.00
Atoms (fractional coordinates):
Co 0.000 0.500 0.000
Co 0.500 0.000 0.000
Tc 0.000 0.000 0.500
Ir 0.500 0.500 0.500